## RbBa2Ag2 (PBE-GGA)

Data for a relaxed structure of RbBa2Ag2.

electronic total energy: -0.0820 Ha/atom
formation enthalpy at 0 K: -12.34 kJ per mole of atoms
total magnetic moment: 0.0 μB per formula unit

Cell and atoms, written as CIF:
```
data_RbBa2Ag2
_symmetry_space_group_name_H-M 'P 4/m b m'
_symmetry_Int_Tables_number 127
_symmetry_space_group_name_Hall '-P 4 2ab'
_cell_length_a 9.380
_cell_length_b 9.380
_cell_length_c 4.731
_cell_angle_alpha 90.00
_cell_angle_beta 90.00
_cell_angle_gamma 90.00
loop_
_atom_site_label
_atom_site_type_symbol
_atom_site_fract_x
_atom_site_fract_y
_atom_site_fract_z
_atom_site_occupancy
Rb1 Rb 0.000 0.000 0.000 1
Ba1 Ba 0.162 0.338 0.500 1
Ag1 Ag 0.116 0.616 0.000 1
```